[1]
The following is a PBE calculation of a geometry-optimized BaCu2P2 structure, from Alexandria via LeMat-Bulk.

Summary:
Formation energy from the elements in eV/atom: -0.49
Electronic total energy in eV per atom: -4.6761
Spin magnetization in Bohr magnetons per cell: 0.00

Unit cell a=9.031 b=4.097 c=10.502 alpha=90.00 beta=90.00 gamma=90.00
Space group Pnma (No. 62)
Asymmetric unit:
Ba  0.243  0.250  0.169 x4
Cu  0.042  0.250  0.872 x4
Cu  0.090  0.250  0.455 x4
P  0.033  0.750  0.346 x4
P  0.132  0.750  0.951 x4


[2]
The following is a PBE calculation of a geometry-optimized PaTiHg2 structure, from Alexandria via LeMat-Bulk.

Summary:
Relative energy among the computed polymorphs in meV/atom: 0.0
Formation energy from the elements in eV/atom: 0.04
Electronic total energy in eV per atom: -4.4569
Spin magnetization in Bohr magnetons per cell: 1.50

Unit cell a=3.123 b=3.123 c=8.785 alpha=90.00 beta=90.00 gamma=90.00
Space group P4/mmm (No. 123)
Asymmetric unit:
Pa  0.000  0.000  0.000 x1
Ti  0.000  0.000  0.500 x1
Hg  0.500  0.500  0.277 x2


[3]
The following is a PBE calculation of a geometry-optimized V2GaRh6 structure, from Alexandria via LeMat-Bulk.

Summary:
Formation energy from the elements in eV/atom: -0.17
Electronic total energy in eV per atom: -7.4356
Spin magnetization in Bohr magnetons per cell: 0.00

Unit cell a=4.050 b=5.788 c=12.150 alpha=90.00 beta=90.00 gamma=90.00
Space group Immm (No. 71)
Asymmetric unit:
V  0.000  0.000  0.165 x4
Ga  0.000  0.000  0.500 x2
Rh  0.000  0.246  0.000 x4
Rh  0.000  0.252  0.332 x8


[4]
The following is a PBE calculation of a geometry-optimized Eu2ZnGe structure, from Alexandria via LeMat-Bulk.

Summary:
Formation energy from the elements in eV/atom: -0.45
Electronic total energy in eV per atom: -7.0559
Spin magnetization in Bohr magnetons per cell: 14.08

Unit cell a=5.280 b=5.280 c=3.744 alpha=90.00 beta=90.00 gamma=90.00
Space group P4/mmm (No. 123)
Asymmetric unit:
Eu  0.000  0.500  0.000 x2
Zn  0.000  0.000  0.500 x1
Ge  0.500  0.500  0.500 x1


[5]
The following is a PBE calculation of a geometry-optimized LaPr3Cd structure, from Alexandria via LeMat-Bulk.

Summary:
Relative energy among the computed polymorphs in meV/atom: 0.0
Formation energy from the elements in eV/atom: -0.11
Electronic total energy in eV per atom: -4.1454
Spin magnetization in Bohr magnetons per cell: 0.00

Unit cell a=13.440 b=3.840 c=13.183 alpha=90.00 beta=92.52 gamma=90.00
Space group C2/m (No. 12)
Asymmetric unit:
La  0.228  0.000  0.250 x4
Pr  0.039  0.000  0.690 x4
Pr  0.135  0.500  0.472 x4
Pr  0.145  0.000  0.949 x4
Cd  0.053  0.500  0.127 x4


[6]
The following is a PBE calculation of a geometry-optimized BaTlO2 structure, from Alexandria via LeMat-Bulk.

Summary:
Relative energy among the computed polymorphs in meV/atom: 364.5
Electronic total energy in eV per atom: -4.7418
Spin magnetization in Bohr magnetons per cell: 3.66

Unit cell a=6.645 b=6.645 c=6.645 alpha=90.00 beta=90.00 gamma=90.00
Space group Fm-3m (No. 225)
Asymmetric unit:
Ba  0.000  0.000  0.000 x4
Tl  0.000  0.000  0.500 x4
O  0.250  0.250  0.250 x8


[7]
The following is a PBE calculation of a geometry-optimized Tb6TmSc8 structure, from Alexandria via LeMat-Bulk.

Summary:
Formation energy from the elements in eV/atom: 0.19
Electronic total energy in eV per atom: -5.3387
Spin magnetization in Bohr magnetons per cell: 0.00

Unit cell a=9.1878 b=9.1878 c=17.2748 alpha=90.00 beta=90.00 gamma=120.00
Space group R-3 (No. 148, hexagonal axes)
Asymmetric unit:
Tb  0.0223  0.2367  0.4072 x18
Tm  0.0000  0.0000  0.0000 x3
Sc  0.0000  0.0000  0.2311 x6
Sc  0.0521  0.2784  0.9009 x18


[8]
The following is a PBE calculation of a geometry-optimized InSi2SnSb structure, from Alexandria via LeMat-Bulk.

Summary:
Electronic total energy in eV per atom: -3.3648
Spin magnetization in Bohr magnetons per cell: 0.00

Unit cell a=5.174 b=5.174 c=5.504 alpha=90.00 beta=90.00 gamma=90.00
Space group P4/mmm (No. 123)
Asymmetric unit:
In  0.000  0.000  0.000 x1
Si  0.000  0.500  0.500 x2
Sn  0.000  0.000  0.500 x1
Sb  0.500  0.500  0.000 x1


[9]
The following is a PBE calculation of a geometry-optimized Ba4ScRu structure, from Alexandria via LeMat-Bulk.

Summary:
Formation energy from the elements in eV/atom: 1.16
Electronic total energy in eV per atom: -2.7247
Spin magnetization in Bohr magnetons per cell: 10.46

Unit cell a=9.911 b=9.911 c=9.911 alpha=90.00 beta=90.00 gamma=90.00
Space group F-43m (No. 216)
Asymmetric unit:
Ba  0.124  0.124  0.124 x16
Sc  0.000  0.000  0.500 x4
Ru  0.250  0.250  0.750 x4


[10]
The following is a PBE calculation of a geometry-optimized Ag4Mo3 structure, from Alexandria via LeMat-Bulk.

Summary:
Formation energy from the elements in eV/atom: 0.40
Electronic total energy in eV per atom: -5.8732
Spin magnetization in Bohr magnetons per cell: 0.00

Unit cell a=2.717 b=2.717 c=31.778 alpha=90.00 beta=90.00 gamma=90.00
Space group I4/mmm (No. 139)
Asymmetric unit:
Ag  0.000  0.000  0.071 x4
Ag  0.000  0.000  0.356 x4
Mo  0.000  0.000  0.215 x4
Mo  0.000  0.000  0.500 x2


[11]
The following is a PBE calculation of a geometry-optimized SbSe2Cl structure, from Alexandria via LeMat-Bulk.

Summary:
Relative energy among the computed polymorphs in meV/atom: 253.2
Electronic total energy in eV per atom: -3.2915
Spin magnetization in Bohr magnetons per cell: 0.00

Unit cell a=3.820 b=4.497 c=7.595 alpha=90.00 beta=92.92 gamma=90.00
Space group Pm (No. 6)
Asymmetric unit:
Sb  0.000  0.000  0.000 x1
Se  0.026  0.000  0.656 x1
Se  0.759  0.500  0.722 x1
Cl  0.198  0.500  0.196 x1


[12]
The following is a PBE calculation of a geometry-optimized Pr5SmZn6 structure, from Alexandria via LeMat-Bulk.

Summary:
Formation energy from the elements in eV/atom: -0.30
Electronic total energy in eV per atom: -3.3239
Spin magnetization in Bohr magnetons per cell: 0.00

Unit cell a=5.224 b=7.416 c=8.272 alpha=90.00 beta=108.21 gamma=90.00
Space group P2/m (No. 10)
Asymmetric unit:
Pr  0.000  0.000  0.000 x1
Pr  0.333  0.000  0.665 x2
Pr  0.334  0.500  0.668 x2
Sm  0.000  0.500  0.000 x1
Zn  0.164  0.253  0.329 x4
Zn  0.500  0.254  0.000 x2